YCu3N: relaxed, PBE.

The space group is Pm-3m (No. 221) and the conventional cell measures 4.170, 4.170 and 4.170 Å, with angles of 90.00, 90.00 and 90.00 degrees. The distinct sites, in fractional coordinates, are Y at (0.000, 0.000, 0.000), Cu at (0.000, 0.500, 0.500) and N at (0.500, 0.500, 0.500).

For the density, the calculation gives 6.72 g/cm3. As for the density of states at the Fermi level: 4.5 states/eV per cell. For the total energy, the calculation gives -5.1041 eV/atom.